# PBE-GGA MgZnRu3, relaxed
# * VASP energy: -22.2 eV/cell
# * crystal system: cubic
# * excess energy over the best structure of this formula in the dataset: 0.392 eV per atom
# * calculated formation energy: 1.69 eV per atom
# * V: 17.94 Å³ per atom
data_MgZnRu3
_chemical_formula_sum 'Mg1 Zn1 Ru3'
_cell_length_a 4.477
_cell_length_b 4.477
_cell_length_c 4.477
_cell_angle_alpha 90.00
_cell_angle_beta 90.00
_cell_angle_gamma 90.00
_symmetry_space_group_name_H-M 'P m -3 m'
_symmetry_Int_Tables_number 221
_symmetry_space_group_name_Hall '-P 4 2 3'
loop_
_atom_site_label
_atom_site_type_symbol
_atom_site_fract_x
_atom_site_fract_y
_atom_site_fract_z
Mg1 Mg 0.000 0.000 0.000
Zn1 Zn 0.500 0.500 0.500
Ru1 Ru 0.000 0.000 0.500

# PBE-GGA MgZn2Ru, relaxed
# * VASP energy: -13.5 eV/cell
# * crystal system: monoclinic
# * calculated formation energy: -0.02 eV per atom
# * V: 15.22 Å³ per atom
data_MgZn2Ru
_chemical_formula_sum 'Mg1 Zn2 Ru1'
_cell_length_a 2.837
_cell_length_b 4.156
_cell_length_c 5.344
_cell_angle_alpha 90.00
_cell_angle_beta 104.92
_cell_angle_gamma 90.00
_symmetry_space_group_name_H-M 'P 1 m 1'
_symmetry_Int_Tables_number 6
loop_
_symmetry_equiv_pos_as_xyz
'x,y,z'
'x,-y,z'
loop_
_atom_site_label
_atom_site_type_symbol
_atom_site_fract_x
_atom_site_fract_y
_atom_site_fract_z
Mg1 Mg 0.000 0.000 0.000
Zn1 Zn 0.249 0.000 0.490
Zn2 Zn 0.385 0.500 0.763
Ru1 Ru 0.646 0.500 0.284

| no. | total magnetic moment (μB per cell) |
| --- | --- |
| 1 | 2.4 |
| 2 | 0.7 |